1.
6
Lattice="5.698 0.000 0.000 -2.849 4.935 0.000 0.000 0.000 4.183" Properties=species:S:1:pos:R:3 comment="GGA-PBE GdZn2Au3, optimized geometry" e_form_ev_per_fu=-2.454 pbc="T T T"
Gd 0.000 0.000 0.000
Zn 0.000 3.290 0.000
Zn 2.849 1.645 0.000
Au -1.425 2.467 2.092
Au 2.849 0.000 2.092
Au 1.425 2.467 2.092



2.
20
Lattice="7.074 0.000 0.000 0.000 9.992 0.000 0.000 0.000 6.996" Properties=species:S:1:pos:R:3 comment="GGA-PBE BaHfS3, optimized geometry" dft_energy_ev_per_atom=-6.694 pbc="T T T"
Ba 0.319 2.498 0.066
Ba 3.218 7.494 3.564
Ba 3.856 2.498 3.432
Ba 6.755 7.494 6.930
Hf 0.000 0.000 3.498
Hf 0.000 4.996 3.498
Hf 3.537 0.000 0.000
Hf 3.537 4.996 0.000
S 0.015 7.494 3.107
S 1.493 5.286 5.520
S 1.493 9.702 5.520
S 2.045 0.290 2.022
S 2.045 4.706 2.022
S 3.522 2.498 6.605
S 3.552 7.494 0.391
S 5.030 5.286 4.974
S 5.030 9.702 4.974
S 5.582 0.290 1.476
S 5.582 4.706 1.476
S 7.059 2.498 3.889



3.
16
Lattice="10.929 0.000 0.000 0.000 5.688 3.364 0.000 -5.688 3.364" Properties=species:S:1:pos:R:3 comment="GGA-PBE BaCu2WSe4, optimized geometry" dft_energy_ev_per_atom=-5.046 pbc="T T T"
Ba 0.000 0.000 0.000
Ba 5.465 0.000 0.000
Cu 1.374 2.531 2.655
Cu 4.091 2.531 2.655
Cu 6.839 -2.531 2.655
Cu 9.555 -2.531 2.655
W 2.732 -1.625 2.629
W 8.197 1.625 2.629
Se 0.863 2.819 5.037
Se 2.732 0.661 1.802
Se 2.732 -1.294 5.042
Se 4.602 2.819 5.037
Se 6.328 -2.819 5.037
Se 8.197 -0.661 1.802
Se 8.197 1.294 5.042
Se 10.066 -2.819 5.037



4.
3
Lattice="0.000 3.686 3.686 3.686 0.000 3.686 3.686 3.686 0.000" Properties=species:S:1:pos:R:3 comment="GGA-PBE PmDyHf, optimized geometry" e_form_ev_per_fu=2.551 pbc="T T T"
Pm 0.000 0.000 0.000
Dy 3.686 3.686 3.686
Hf 5.529 5.529 5.529